The following is a GGA+U calculation of a relaxed FeCoIO2 crystal, from Alexandria.

Properties
The value obtained for the calculated density is 4.932 Mg/m³. The raw total energy comes out at -4.638 eV per atom. The value obtained for the energy above the most stable polymorph in this dataset is 0.000 eV/atom.

Geometry as CIF:
```
data_FeCoIO2
_chemical_formula_sum 'Fe1 Co1 I1 O2'
_cell_length_a 3.7923
_cell_length_b 3.7923
_cell_length_c 6.4067
_cell_angle_alpha 90.00
_cell_angle_beta 90.00
_cell_angle_gamma 90.00
_symmetry_space_group_name_H-M 'P 1'
_symmetry_Int_Tables_number 1
_symmetry_space_group_name_Hall 'P 1'
loop_
_atom_site_label
_atom_site_fract_x
_atom_site_fract_y
_atom_site_fract_z
Fe1 0.0000 0.0000 0.0000
Co1 0.5000 0.5000 0.5000
I1 0.0000 0.0000 0.5000
O1 0.0000 0.5000 0.0000
O2 0.5000 0.0000 0.0000
```